(1)
First-principles (PBE) data for a relaxed RbPuWN4 crystal, as listed in the Alexandria database.

Output
Crystal system: monoclinic
Total DFT energy (no corrections) (eV/atom): -9.271

Unit cell a=5.9230 b=5.9687 c=7.8336 alpha=90.00 beta=104.20 gamma=90.00
With the nearest neighbours (Å) after each atom.
Space group P2_1/m (No. 11)
Asymmetric unit:
Rb  0.1396  0.2500  0.1039 x2  1 N 2.82
Pu  0.1776  0.7500  0.4639 x2  6 N 2.21-2.45
W  0.3698  0.2500  0.6644 x2  4 N 1.84-1.90
N  0.1579  0.0115  0.6657 x4  1 W 1.90
N  0.3079  0.7500  0.2225 x2  1 W 1.90
N  0.4350  0.2500  0.4465 x2  1 W 1.84


(2)
First-principles (PBE) data for a relaxed Th2Zn9Ga3 crystal, as listed in the Alexandria database.

Output
Crystal system: orthorhombic
Total DFT energy (no corrections) (eV/atom): -2.737
Energy relative to the elements (eV/atom): -0.21

Unit cell a=13.9387 b=7.9326 c=9.0850 alpha=90.00 beta=90.00 gamma=90.00
With the nearest neighbours (Å) after each atom.
Space group Cmcm (No. 63)
Asymmetric unit:
Th  0.1611  0.1619  0.2500 x8  10 Zn 3.12-3.35, 4 Ga 3.31-3.44
Zn  0.0000  0.1516  0.7500 x4  2 Ga 2.57, 6 Zn 2.60-2.74
Zn  0.0000  0.3395  0.0552 x8  5 Zn 2.73-2.83, 3 Ga 2.74-3.01
Zn  0.0934  0.4557  0.7500 x8  6 Zn 2.60-2.74, 2 Ga 2.68
Zn  0.1553  0.1892  0.5960 x16  4 Zn 2.60-2.83, 3 Ga 2.67-2.78
Ga  0.0000  0.0000  0.0000 x4  8 Zn 2.57-2.78
Ga  0.1923  0.5000  0.0000 x8  6 Zn 2.67-2.74


(3)
First-principles (PBE) data for a relaxed LaZrPb crystal, as listed in the Alexandria database.

Output
Crystal system: trigonal
Energy above the lowest structure with this stoichiometry (meV/atom): 361.4
Total DFT energy (no corrections) (eV/atom): -5.744
Energy relative to the elements (eV/atom): -0.02

Unit cell a=3.4720 b=3.4720 c=8.2700 alpha=90.00 beta=90.00 gamma=120.00
With the nearest neighbours (Å) after each atom.
Space group P3m1 (No. 156)
Asymmetric unit:
La  0.0000  0.0000  0.0000 x1  3 Zr 3.41, 6 La 3.47, 3 Pb 3.59
Zr  0.3333  0.6667  0.6671 x1  3 Pb 3.23, 3 La 3.41, 6 Zr 3.47
Pb  0.6667  0.3333  0.3602 x1  3 Zr 3.23, 6 Pb 3.47, 3 La 3.59


(4)
First-principles (PBE) data for a relaxed ReSnS2 crystal, as listed in the Alexandria database.

Output
Crystal system: trigonal
Total DFT energy (no corrections) (eV/atom): -6.292

Unit cell a=3.2534 b=3.2534 c=26.6885 alpha=90.00 beta=90.00 gamma=120.00
With the nearest neighbours (Å) after each atom.
Space group R-3m (No. 166, hexagonal axes)
Asymmetric unit:
Re  0.0000  0.0000  0.0000 x3  6 S 2.43
Sn  0.0000  0.0000  0.5000 x3  2 S 2.91, 6 Sn 3.25
S  0.0000  0.0000  0.3909 x6  3 Re 2.43


(5)
First-principles (PBE) data for a relaxed Sm6AlHg3 crystal, as listed in the Alexandria database.

Output
Crystal system: monoclinic
Total DFT energy (no corrections) (eV/atom): -3.629
Energy relative to the elements (eV/atom): -0.33

Unit cell a=9.4447 b=5.2812 c=11.7267 alpha=90.00 beta=106.34 gamma=90.00
With the nearest neighbours (Å) after each atom.
Space group P2_1/m (No. 11)
Asymmetric unit:
Sm  0.0241  0.2500  0.4033 x2  5 Hg 3.15-3.48
Sm  0.1566  0.7500  0.1754 x2  1 Al 3.10, 5 Hg 3.11-3.35
Sm  0.2640  0.2500  0.0037 x2  4 Hg 3.18-3.52, 3 Al 3.24-3.32, 2 Sm 3.56
Sm  0.3491  0.7500  0.8303 x2  3 Al 3.17-3.19, 3 Hg 3.28-3.41
Sm  0.3763  0.2500  0.3414 x2  6 Sm 3.25-3.60, 3 Hg 3.31-3.43
Sm  0.3871  0.2500  0.6212 x2  1 Al 3.06, 3 Hg 3.07-3.20, 3 Sm 3.25-3.41
Al  0.4535  0.7500  0.1124 x2  8 Sm 3.06-3.32
Hg  0.0236  0.7500  0.8784 x2  6 Sm 3.11-3.38, 2 Hg 3.47
Hg  0.1218  0.2500  0.7236 x2  7 Sm 3.07-3.41
Hg  0.2736  0.7500  0.4681 x2  9 Sm 3.20-3.55


(6)
First-principles (PBE) data for a relaxed LaGaC3 crystal, as listed in the Alexandria database.

Output
Crystal system: cubic
Energy above the lowest structure with this stoichiometry (meV/atom): 0.0
Total DFT energy (no corrections) (eV/atom): -5.697
Energy relative to the elements (eV/atom): 1.43

Unit cell a=4.0909 b=4.0909 c=4.0909 alpha=90.00 beta=90.00 gamma=90.00
With the nearest neighbours (Å) after each atom.
Space group Pm-3m (No. 221)
Asymmetric unit:
La  0.0000  0.0000  0.0000 x1  12 C 2.89
Ga  0.5000  0.5000  0.5000 x1  6 C 2.05
C  0.0000  0.5000  0.5000 x3  2 Ga 2.05


(7)
First-principles (PBE) data for a relaxed Cr2RePb crystal, as listed in the Alexandria database.

Output
Crystal system: tetragonal
Total DFT energy (no corrections) (eV/atom): -8.105
Energy relative to the elements (eV/atom): 0.75

Unit cell a=4.3884 b=4.3884 c=3.1896 alpha=90.00 beta=90.00 gamma=90.00
With the nearest neighbours (Å) after each atom.
Space group P4/mmm (No. 123)
Asymmetric unit:
Cr  0.0000  0.5000  0.0000 x2  4 Pb 2.71, 4 Re 2.71
Re  0.0000  0.0000  0.5000 x1  8 Cr 2.71
Pb  0.5000  0.5000  0.5000 x1  8 Cr 2.71


(8)
First-principles (PBE) data for a relaxed Tb4ZnSe2S crystal, as listed in the Alexandria database.

Output
Crystal system: monoclinic
Total DFT energy (no corrections) (eV/atom): -5.327

Unit cell a=7.0918 b=3.9838 c=7.1348 alpha=90.00 beta=108.52 gamma=90.00
With the nearest neighbours (Å) after each atom.
Space group P2/m (No. 10)
Asymmetric unit:
Tb  0.2435  0.0000  0.2365 x2  2 S 2.82, 1 Zn 2.85, 3 Se 2.93-2.94
Tb  0.2512  0.5000  0.7569 x2  1 S 2.85, 2 Zn 2.85, 3 Se 2.90-2.92
Zn  0.5000  0.0000  0.0000 x1  6 Tb 2.85
Se  0.0000  0.0000  0.5000 x1  6 Tb 2.90-2.93
Se  0.5000  0.5000  0.5000 x1  6 Tb 2.92-2.94
S  0.0000  0.5000  0.0000 x1  6 Tb 2.82-2.85


(9)
First-principles (PBE) data for a relaxed Ba2BePdCl crystal, as listed in the Alexandria database.

Output
Crystal system: tetragonal
Total DFT energy (no corrections) (eV/atom): -3.001

Unit cell a=5.9296 b=5.9296 c=4.4157 alpha=90.00 beta=90.00 gamma=90.00
With the nearest neighbours (Å) after each atom.
Space group P4/mmm (No. 123)
Asymmetric unit:
Ba  0.0000  0.5000  0.0000 x2  2 Be 2.96
Be  0.0000  0.0000  0.0000 x1  2 Cl 2.21
Pd  0.5000  0.5000  0.5000 x1  8 Ba 3.70
Cl  0.0000  0.0000  0.5000 x1  2 Be 2.21


(10)
First-principles (PBE) data for a relaxed Y3ScPb3 crystal, as listed in the Alexandria database.

Output
Crystal system: monoclinic
Total DFT energy (no corrections) (eV/atom): -5.533
Energy relative to the elements (eV/atom): -0.27

Unit cell a=9.1873 b=13.9734 c=7.0089 alpha=90.00 beta=92.66 gamma=90.00
With the nearest neighbours (Å) after each atom.
Space group C2/m (No. 12)
Asymmetric unit:
Y  0.0000  0.1518  0.0000 x4  6 Pb 3.09-3.37
Y  0.0000  0.2030  0.5000 x4  4 Pb 3.15-3.35
Y  0.0748  0.5000  0.7765 x4  1 Pb 2.99
Sc  0.2088  0.0000  0.7047 x4  4 Pb 2.81-2.99
Pb  0.1065  0.0000  0.2941 x4  2 Sc 2.90-2.99, 3 Y 2.99-3.09
Pb  0.1772  0.3181  0.2021 x8  1 Sc 2.81, 2 Y 3.14-3.15